A plane-wave DFT calculation with GGA+U was carried out for crystalline LiMn2GeO4 at its relaxed geometry.

abc: 5.772 5.772 5.772
angles: 131.20 131.20 71.49
Sites, in units of the cell vectors:
Li 0.000 0.000 0.000
Mn 0.250 0.750 0.500
Mn 0.750 0.250 0.500
Ge 0.500 0.500 0.000
O 0.158 0.158 0.541
O 0.384 0.842 0.000
O 0.616 0.616 0.459
O 0.842 0.384 0.000

Calculated values
Mass density: 3.95 g/cm3
Space group: No. 121
Total magnetic moment: 10.109 μB/cell
Calculated total energy: -0.4938 Ry/atom
Density of states at the Fermi level: 0.168 states/eV/atom